[1]
Computed, not measured: a geometry-optimized NaTbCd14 structure at the PBE level of DFT.

Unit cell a=6.5396 b=6.5396 c=8.7113 alpha=90.00 beta=90.00 gamma=90.01
Fractional positions:
Cd 0.1269 0.6231 0.2428
Cd 0.8750 0.3750 0.5000
Cd 0.6231 0.6231 0.2428
Cd 0.8750 0.8750 0.0000
Cd 0.1269 0.1269 0.7572
Tb 0.8750 0.8750 0.5000
Cd 0.6231 0.6231 0.7572
Cd 0.1269 0.6231 0.7572
Cd 0.3750 0.8750 0.0000
Na 0.3750 0.3750 0.5000
Cd 0.1269 0.1269 0.2428
Cd 0.3750 0.8750 0.5000
Cd 0.8750 0.3750 0.0000
Cd 0.6231 0.1269 0.7572
Cd 0.3750 0.3750 0.0000
Cd 0.6231 0.1269 0.2428

Results
M_tot = 0.0 Bohr magnetons per cell
Formation energy from the elements = -0.09 eV per atom
DOS at the Fermi energy = 7.93 states/eV/f.u.
Volume = 373 Å³ per cell
DFT total energy = -20.139 eV per cell

---

[2]
Computed, not measured: a geometry-optimized TbInO2 structure at the PBE level of DFT.

Unit cell a=3.4826 b=3.4826 c=7.1082 alpha=75.82 beta=75.82 gamma=60.00
Fractional positions:
O 0.1121 0.1121 0.6638
O 0.8879 0.8879 0.3362
In 0.0000 0.0000 0.0000
Tb 0.5000 0.5000 0.5000

Results
M_tot = 0.0 Bohr magnetons per cell
DOS at the Fermi energy = 0.99 states/eV/f.u.
E_form (uncorrected) = -2.37 eV per atom
Volume = 72 Å³ per cell
DFT total energy = -26.778 eV per cell

---

[3]
Computed, not measured: a geometry-optimized AgC2 structure at the PBE level of DFT.

Unit cell a=18.3127 b=18.3127 c=18.3127 alpha=171.85 beta=171.85 gamma=11.54
Fractional positions:
C 0.2517 0.2517 0.0000
Ag 0.0624 0.0624 0.0000
C 0.5017 0.0017 0.5000
C 0.8828 0.3828 0.5000
C 0.7483 0.7483 0.0000
Ag 0.9376 0.9376 0.0000
C 0.6328 0.6328 0.0000
Ag 0.1876 0.6876 0.5000
Ag 0.3124 0.8124 0.5000
C 0.9983 0.4983 0.5000
C 0.6172 0.1172 0.5000
C 0.3672 0.3672 0.0000

Results
M_tot = 0.0 Bohr magnetons per cell
Formation energy from the elements = 1.72 eV per atom
DOS at the Fermi energy = 0.66 states/eV/f.u.
Volume = 123 Å³ per cell
Offset from the most stable computed form = 4.154 eV per formula unit
DFT total energy = -64.591 eV per cell

---

[4]
Computed, not measured: a geometry-optimized TeAsIr structure at the PBE level of DFT.

Unit cell a=4.4754 b=4.4754 c=4.4754 alpha=60.00 beta=60.00 gamma=60.00
Fractional positions:
Te 0.0000 0.0000 0.0000
Ir 0.7500 0.7500 0.7500
As 0.5000 0.5000 0.5000

Results
M_tot = 0.0 Bohr magnetons per cell
DOS at the Fermi energy = 1.10 states/eV/f.u.
E_form (uncorrected) = -0.10 eV per atom
Volume = 63 Å³ per cell
DFT total energy = -16.949 eV per cell

---

[5]
Computed, not measured: a geometry-optimized NbV2Se4 structure at the PBE level of DFT.

Unit cell a=3.3352 b=6.2140 c=7.3101 alpha=117.29 beta=103.19 gamma=90.00
Fractional positions:
Se 0.1105 0.7634 0.2210
Nb 0.0000 0.0000 0.0000
Se 0.3553 0.6867 0.7106
V 0.7457 0.8156 0.4914
Se 0.6447 0.3133 0.2894
Se 0.8895 0.2366 0.7790
V 0.2543 0.1844 0.5086

Results
M_tot = 0.0 Bohr magnetons per cell
DOS at the Fermi energy = 5.61 states/eV/f.u.
E_form (uncorrected) = -0.71 eV per atom
Volume = 130 Å³ per cell
DFT total energy = -47.233 eV per cell

---

[6]
Computed, not measured: a geometry-optimized Tl5In3Cl12 structure at the PBE level of DFT.

Unit cell a=15.4824 b=15.4824 c=15.4824 alpha=109.47 beta=109.47 gamma=109.47
Fractional positions:
In 0.8750 0.7500 0.1250
Cl 0.9113 0.8083 0.5387
Cl 0.0387 0.6274 0.7303
Cl 0.5387 0.3083 0.9113
Tl 0.2500 0.3750 0.6250
In 0.7500 0.8750 0.6250
Cl 0.8971 0.0887 0.6274
Cl 0.3726 0.4113 0.1029
Cl 0.0887 0.8971 0.1274
Cl 0.4613 0.6917 0.0887
Tl 0.0000 0.0000 0.0000
Cl 0.5387 0.2303 0.1274
Cl 0.7303 0.1274 0.0387
Tl 0.5000 0.0000 0.5000
In 0.1250 0.8750 0.7500
Tl 0.8750 0.2500 0.6250
In 0.2500 0.6250 0.8750
Cl 0.5887 0.9613 0.6917
Tl 0.3750 0.2500 0.1250
Tl 0.0000 0.5000 0.5000
Cl 0.2697 0.8726 0.9613
Cl 0.1274 0.7303 0.5387
Tl 0.5000 0.5000 0.0000
In 0.6250 0.3750 0.7500
Cl 0.9613 0.5887 0.1917
Tl 0.3750 0.1250 0.7500
Cl 0.3083 0.5387 0.4113
Cl 0.8083 0.8971 0.2697
Tl 0.2500 0.8750 0.1250
Tl 0.1250 0.7500 0.3750
Cl 0.2303 0.6917 0.1029
Tl 0.6250 0.7500 0.8750
Cl 0.4113 0.0387 0.3083
Cl 0.8083 0.9113 0.0387
Cl 0.3971 0.1274 0.5887
Cl 0.8971 0.8083 0.7697
Tl 0.8750 0.6250 0.7500
Tl 0.6250 0.8750 0.2500
Cl 0.6274 0.5887 0.8971
Cl 0.6029 0.7303 0.6917
Cl 0.0887 0.1917 0.4613
Cl 0.7697 0.4613 0.3726
Cl 0.7697 0.3083 0.8971
Cl 0.1274 0.3971 0.0887
Cl 0.6274 0.0387 0.2303
Cl 0.1917 0.1029 0.7303
Cl 0.1029 0.9113 0.3726
Cl 0.7303 0.6029 0.1917
Tl 0.1250 0.3750 0.2500
Tl 0.7500 0.1250 0.8750
Cl 0.6917 0.4613 0.5887
Cl 0.4613 0.7697 0.8726
Cl 0.2303 0.5387 0.6274
Tl 0.0000 0.5000 0.0000
Cl 0.4113 0.3726 0.6029
Cl 0.3726 0.9613 0.7697
In 0.6250 0.2500 0.3750
Cl 0.0387 0.4113 0.8083
Tl 0.5000 0.0000 0.0000
Tl 0.7500 0.6250 0.3750
Cl 0.5887 0.6274 0.3971
Tl 0.5000 0.5000 0.5000
Cl 0.9613 0.3726 0.2697
Cl 0.6917 0.2303 0.6029
Cl 0.3971 0.2697 0.3083
Cl 0.9113 0.1029 0.8726
In 0.1250 0.2500 0.8750
Cl 0.8726 0.2697 0.4613
In 0.8750 0.1250 0.2500
Cl 0.2697 0.3971 0.8083
Tl 0.0000 0.0000 0.5000
Cl 0.3083 0.7697 0.3971
Cl 0.8726 0.6029 0.9113
In 0.2500 0.1250 0.3750
In 0.3750 0.6250 0.2500
Cl 0.6029 0.8726 0.4113
Cl 0.1029 0.1917 0.2303
In 0.3750 0.7500 0.6250
In 0.7500 0.3750 0.1250
Cl 0.1917 0.0887 0.9613

Results
M_tot = 0.0 Bohr magnetons per cell
DOS at the Fermi energy = 12.77 states/eV/f.u.
E_form (uncorrected) = -0.75 eV per atom
Volume = 2857 Å³ per cell
DFT total energy = -229.121 eV per cell

---

[7]
Computed, not measured: a geometry-optimized ZnSnN3 structure at the PBE level of DFT.

Unit cell a=4.1481 b=4.1481 c=4.1481 alpha=90.00 beta=90.00 gamma=90.00
Fractional positions:
N 0.0000 0.0000 0.5000
Zn 0.5000 0.5000 0.5000
N 0.0000 0.5000 0.0000
N 0.5000 0.0000 0.0000
Sn 0.0000 0.0000 0.0000

Results
M_tot = 3.1 Bohr magnetons per cell
DOS at the Fermi energy = 1.85 states/eV/f.u.
E_form (uncorrected) = 1.76 eV per atom
Volume = 71 Å³ per cell
DFT total energy = -21.466 eV per cell

---

[8]
Computed, not measured: a geometry-optimized Nd2GeAu3 structure at the PBE level of DFT.

Unit cell a=3.6590 b=4.6013 c=8.2469 alpha=90.00 beta=90.00 gamma=90.00
Fractional positions:
Nd 0.0000 0.0000 0.5055
Ge 0.5000 0.5000 0.3302
Au 0.5000 0.0000 0.1781
Nd 0.0000 0.5000 0.9941
Au 0.5000 0.0000 0.8396
Au 0.5000 0.5000 0.6525

Results
M_tot = 0.0 Bohr magnetons per cell
Formation energy from the elements = -0.78 eV per atom
DOS at the Fermi energy = 2.35 states/eV/f.u.
Volume = 139 Å³ per cell
DFT total energy = -28.650 eV per cell

---

[9]
Computed, not measured: a geometry-optimized Zn2SnP structure at the PBE level of DFT.

Unit cell a=3.6050 b=3.6050 c=8.1591 alpha=77.24 beta=77.24 gamma=60.00
Fractional positions:
P 0.5000 0.5000 0.5000
Sn 0.0000 0.0000 0.0000
Zn 0.8872 0.8872 0.3384
Zn 0.1128 0.1128 0.6616

Results
M_tot = 0.0 Bohr magnetons per cell
Formation energy from the elements = 0.08 eV per atom
DOS at the Fermi energy = 1.35 states/eV/f.u.
Volume = 89 Å³ per cell
DFT total energy = -11.636 eV per cell

---

[10]
Computed, not measured: a geometry-optimized NdNi11 structure at the PBE level of DFT.

Unit cell a=6.2929 b=7.6200 c=7.6200 alpha=80.18 beta=65.61 gamma=65.61
Fractional positions:
Ni 0.0137 0.9195 0.6712
Ni 0.7363 0.5805 0.8288
Ni 0.3750 0.7500 0.7500
Ni 0.4348 0.8288 0.4195
Ni 0.1457 0.1712 0.4195
Ni 0.1457 0.4195 0.1712
Ni 0.0000 0.0000 0.0000
Ni 0.4348 0.4195 0.8288
Ni 0.6043 0.0805 0.3288
Ni 0.0137 0.6712 0.9195
Ni 0.6832 0.1712 0.5805
Ni 0.0668 0.3288 0.9195
Ni 0.8750 0.2500 0.2500
Nd 0.5000 0.0000 0.0000
Ni 0.0668 0.9195 0.3288
Nd 0.2500 0.5000 0.5000
Ni 0.7363 0.8288 0.5805
Ni 0.8750 0.7500 0.2500
Ni 0.7500 0.5000 0.5000
Ni 0.3152 0.0805 0.6712
Ni 0.8750 0.2500 0.7500
Ni 0.3152 0.6712 0.0805
Ni 0.6832 0.5805 0.1712
Ni 0.6043 0.3288 0.0805

Results
M_tot = 10.2 Bohr magnetons per cell
Formation energy from the elements = -0.10 eV per atom
DOS at the Fermi energy = 21.58 states/eV/f.u.
Volume = 303 Å³ per cell
DFT total energy = -139.175 eV per cell

---

[11]
Computed, not measured: a geometry-optimized Pm2Pr5TmSc structure at the PBE level of DFT.

Unit cell a=8.4478 b=8.4478 c=10.5405 alpha=113.62 beta=113.62 gamma=90.00
Fractional positions:
Sc 0.2500 0.7500 0.5000
Pr 0.0733 0.5733 0.7079
Pm 0.1257 0.3743 0.0000
Pr 0.9267 0.4267 0.2921
Pm 0.3743 0.8743 0.0000
Pr 0.3654 0.8654 0.2921
Pr 0.5733 0.6346 0.7079
Pr 0.1346 0.0733 0.7079
Pr 0.4267 0.3654 0.2921
Pm 0.8743 0.6257 0.0000
Pm 0.6257 0.1257 0.0000
Tm 0.2500 0.2500 0.5000
Tm 0.7500 0.7500 0.5000
Sc 0.7500 0.2500 0.5000
Pr 0.8654 0.9267 0.2921
Pr 0.0000 0.0000 0.0000
Pr 0.5000 0.5000 0.0000
Pr 0.6346 0.1346 0.7079

Results
M_tot = 0.0 Bohr magnetons per cell
Formation energy from the elements = 0.28 eV per atom
DOS at the Fermi energy = 13.42 states/eV/f.u.
Volume = 620 Å³ per cell
DFT total energy = -83.351 eV per cell

---

[12]
Computed, not measured: a geometry-optimized CaCrCu3 structure at the PBE level of DFT.

Unit cell a=4.6688 b=4.6688 c=4.6688 alpha=90.00 beta=90.00 gamma=90.00
Fractional positions:
Cu 0.5000 0.0000 0.0000
Cu 0.0000 0.5000 0.0000
Cu 0.0000 0.0000 0.5000
Ca 0.5000 0.5000 0.5000
Cr 0.0000 0.0000 0.0000

Results
M_tot = 3.9 Bohr magnetons per cell
Formation energy from the elements = 0.56 eV per atom
DOS at the Fermi energy = 2.38 states/eV/f.u.
Volume = 102 Å³ per cell
Offset from the most stable computed form = 0.000 eV per formula unit
DFT total energy = -21.097 eV per cell

---

[13]
Computed, not measured: a geometry-optimized La3Tb8Pm3 structure at the PBE level of DFT.

Unit cell a=5.7491 b=9.8442 c=9.8442 alpha=102.51 beta=73.01 gamma=73.01
Fractional positions:
La 0.0000 0.8142 0.1858
La 0.0000 0.1858 0.8142
Tb 0.6619 0.5577 0.1188
Tb 0.3381 0.8812 0.4423
Tb 0.8398 0.7620 0.5577
Tb 0.1602 0.2380 0.4423
Pm 0.1995 0.7995 0.7995
Tb 0.6619 0.1188 0.5577
La 0.5000 0.0000 0.0000
Pm 0.5000 0.5000 0.5000
Tb 0.8398 0.5577 0.7620
Pm 0.8005 0.2005 0.2005
Tb 0.3381 0.4423 0.8812
Tb 0.1602 0.4423 0.2380

Results
M_tot = 0.0 Bohr magnetons per cell
Formation energy from the elements = 0.10 eV per atom
DOS at the Fermi energy = 21.25 states/eV/f.u.
Volume = 481 Å³ per cell
DFT total energy = -64.699 eV per cell

---

[14]
Computed, not measured: a geometry-optimized Mg3Mo structure at the PBE level of DFT.

Unit cell a=5.6232 b=5.6232 c=5.6232 alpha=117.31 beta=117.31 gamma=117.31
Fractional positions:
Mo 0.0000 0.0000 0.0000
Mg 0.5000 0.5000 0.0000
Mg 0.0000 0.5000 0.5000
Mg 0.5000 0.0000 0.5000

Results
M_tot = 0.0 Bohr magnetons per cell
Formation energy from the elements = 0.26 eV per atom
DOS at the Fermi energy = 1.94 states/eV/f.u.
Volume = 75 Å³ per cell
Offset from the most stable computed form = 0.254 eV per formula unit
DFT total energy = -14.574 eV per cell

---

[15]
Computed, not measured: a geometry-optimized NpIrOs structure at the PBE level of DFT.

Unit cell a=4.0756 b=4.1720 c=6.3668 alpha=70.91 beta=90.00 gamma=90.00
Fractional positions:
Os 0.7500 0.2472 0.5074
Ir 0.7500 0.9071 0.1870
Np 0.7500 0.5828 0.8347
Np 0.2500 0.4172 0.1653
Ir 0.2500 0.0929 0.8130
Os 0.2500 0.7528 0.4926

Results
M_tot = 4.7 Bohr magnetons per cell
Formation energy from the elements = 0.04 eV per atom
DOS at the Fermi energy = 5.82 states/eV/f.u.
Volume = 102 Å³ per cell
Offset from the most stable computed form = 0.000 eV per formula unit
DFT total energy = -65.848 eV per cell

---

[16]
Computed, not measured: a geometry-optimized Cs2Tl3SbPb4 structure at the PBE level of DFT.

Unit cell a=5.2773 b=5.2773 c=13.9886 alpha=90.00 beta=90.00 gamma=90.00
Fractional positions:
Pb 0.0000 0.0000 0.0000
Tl 0.0000 0.5000 0.1367
Tl 0.0000 0.0000 0.5000
Pb 0.5000 0.5000 0.0000
Pb 0.5000 0.0000 0.6259
Sb 0.5000 0.5000 0.5000
Pb 0.0000 0.5000 0.3741
Tl 0.5000 0.0000 0.8633
Cs 0.0000 0.5000 0.7455
Cs 0.5000 0.0000 0.2545

Results
M_tot = 0.0 Bohr magnetons per cell
DOS at the Fermi energy = 5.65 states/eV/f.u.
E_form (uncorrected) = -0.10 eV per atom
Volume = 390 Å³ per cell
DFT total energy = -28.804 eV per cell

---

[17]
Computed, not measured: a geometry-optimized Pu8Mn5Pd structure at the PBE level of DFT.

Unit cell a=7.0971 b=7.0971 c=7.0971 alpha=111.17 beta=106.12 gamma=111.17
Fractional positions:
Pu 0.9791 0.1022 0.7565
Pd 0.2500 0.5000 0.7500
Pu 0.1231 0.7774 0.0209
Pu 0.7563 0.2400 0.3524
Pu 0.4837 0.5961 0.2437
Pu 0.6476 0.4039 0.8876
Pu 0.2435 0.2226 0.3458
Mn 0.0558 0.4535 0.1762
Pu 0.6542 0.8978 0.8769
Mn 0.5000 0.0000 0.5000
Mn 0.8238 0.8796 0.2773
Mn 0.7227 0.5465 0.6023
Mn 0.3977 0.1204 0.9442
Pu 0.1124 0.7600 0.5163

Results
M_tot = 8.5 Bohr magnetons per cell
Formation energy from the elements = 0.27 eV per atom
DOS at the Fermi energy = 47.87 states/eV/f.u.
Volume = 274 Å³ per cell
DFT total energy = -161.884 eV per cell

---

[18]
Computed, not measured: a geometry-optimized KSbMo2 structure at the PBE level of DFT.

Unit cell a=3.9470 b=3.3781 c=7.9585 alpha=84.94 beta=90.00 gamma=90.00
Fractional positions:
Sb 0.0000 0.3634 0.4292
K 0.5000 0.7965 0.7481
Mo 0.5000 0.4178 0.1711
Mo 0.0000 0.9223 0.1517

Results
M_tot = 0.0 Bohr magnetons per cell
DOS at the Fermi energy = 2.00 states/eV/f.u.
E_form (uncorrected) = 0.45 eV per atom
Volume = 106 Å³ per cell
DFT total energy = -25.087 eV per cell

---

[19]
Computed, not measured: a geometry-optimized LiInBr2 structure at the PBE level of DFT.

Unit cell a=5.0386 b=5.0386 c=9.3649 alpha=90.01 beta=90.01 gamma=90.00
Fractional positions:
In 0.2501 0.2501 0.8126
Li 0.7500 0.7500 0.5806
In 0.7499 0.7499 0.1874
Br 0.2496 0.2496 0.1442
Br 0.2500 0.7500 0.5000
Li 0.2500 0.2500 0.4194
Br 0.7500 0.2500 0.5000
Br 0.7504 0.7504 0.8558

Results
M_tot = 0.0 Bohr magnetons per cell
DOS at the Fermi energy = 0.00 states/eV/f.u.
E_form (uncorrected) = -1.05 eV per atom
Volume = 238 Å³ per cell
Offset from the most stable computed form = 0.046 eV per formula unit
DFT total energy = -24.426 eV per cell

---

[20]
Computed, not measured: a geometry-optimized PmPu2ThAs4 structure at the PBE level of DFT.

Unit cell a=4.2124 b=7.2404 c=7.2900 alpha=70.40 beta=90.00 gamma=90.00
Fractional positions:
As 0.5000 0.7572 0.2477
As 0.0000 0.7583 0.7466
Pu 0.0000 0.0000 0.0000
Pm 0.5000 0.5000 0.0000
As 0.0000 0.2417 0.2534
Pu 0.5000 0.0000 0.5000
Th 0.0000 0.5000 0.5000
As 0.5000 0.2428 0.7523

Results
M_tot = 10.5 Bohr magnetons per cell
Formation energy from the elements = -1.27 eV per atom
DOS at the Fermi energy = 21.69 states/eV/f.u.
Volume = 209 Å³ per cell
DFT total energy = -69.560 eV per cell